# 1
# Sr2TiSb4Pd3

Sr2TiSb4Pd3 after structural relaxation (PBE-GGA, the Alexandria database).

Unit cell a=4.571 b=4.571 c=11.593 alpha=90.00 beta=90.00 gamma=90.00
Element x y z (fractional)
Sr 0.000 0.500 0.756
Sr 0.500 0.000 0.244
Pd 0.000 0.500 0.134
Pd 0.500 0.000 0.866
Pd 0.000 0.000 0.500
Sb 0.500 0.000 0.633
Sb 0.000 0.000 0.000
Sb 0.000 0.500 0.367
Sb 0.500 0.500 0.000
Ti 0.500 0.500 0.500

V   242 Å³/f.u.
Formation energy from raw total energies   -754 meV per atom
Symmetry   P-4m2
Total magnetization   0.0439 μB/atom



# 2
# MgMnBr2

MgMnBr2 after structural relaxation (PBE-GGA, the Alexandria database).

Unit cell a=3.586 b=6.391 c=4.254 alpha=90.00 beta=90.00 gamma=90.00
Element x y z (fractional)
Mn 0.000 0.500 0.500
Br 0.000 0.000 0.000
Br 0.500 0.500 0.000
Mg 0.500 0.000 0.500

V   97 Å³/f.u.
Energy above the lowest structure with this stoichiometry   1.68 eV per formula unit
Formation energy from raw total energies   -122 meV per atom
Symmetry   Pmmm
Total magnetization   0.9775 μB/atom



# 3
# SeN

SeN after structural relaxation (PBE-GGA, the Alexandria database).

Unit cell a=8.770 b=8.770 c=3.847 alpha=90.00 beta=90.00 gamma=90.00
Element x y z (fractional)
Se 0.554 0.798 0.000
Se 0.798 0.446 0.000
Se 0.446 0.202 0.000
Se 0.054 0.298 0.500
Se 0.298 0.946 0.500
Se 0.202 0.554 0.000
Se 0.946 0.702 0.500
Se 0.702 0.054 0.500
N 0.645 0.121 0.000
N 0.355 0.879 0.000
N 0.855 0.379 0.500
N 0.145 0.621 0.500
N 0.379 0.145 0.500
N 0.879 0.645 0.000
N 0.121 0.355 0.000
N 0.621 0.855 0.500

V   37 Å³/f.u.
Formation energy from raw total energies   1195 meV per atom
Symmetry   I4/m
Total magnetization   0.0000 μB/atom



# 4
# CrTeAu2

CrTeAu2 after structural relaxation (PBE-GGA, the Alexandria database).

Unit cell a=3.831 b=3.802 c=5.562 alpha=90.00 beta=90.00 gamma=90.00
Element x y z (fractional)
Te 0.500 0.500 0.750
Au 0.000 0.000 0.010
Au 0.000 0.000 0.490
Cr 0.500 0.500 0.250

V   81 Å³/f.u.
Formation energy from raw total energies   146 meV per atom
Symmetry   Pmmm
Total magnetization   1.0090 μB/atom